Version i
{
  "formula": "La2YRh",
  "functional": "meta-GGA SCAN",
  "state": "single point on PBEsol structure",
  "spacegroup": "R-3m, No. 166",
  "lattice_angstrom": [[3.8591, 0.0000, 0.0000], [1.9296, 3.3421, 0.0000], [1.9296, 1.1140, 9.3482]],
  "species": ["Rh", "La", "La", "Y"],
  "fractional_positions": [[0.5000, 0.5000, 0.5000], [0.7725, 0.7725, 0.6825], [0.2275, 0.2275, 0.3175], [0.0000, 0.0000, 0.0000]]
}

Version ii
{
  "formula": "La2YRh",
  "functional": "meta-GGA SCAN",
  "state": "single point on PBEsol structure",
  "spacegroup": "Cm, No. 8",
  "lattice_angstrom": [[-1.1713, -0.9735, 3.3599], [-4.9384, -1.5795, -2.1792], [4.8811, -3.6860, -1.3915]],
  "species": ["La", "La", "Y", "Rh"],
  "fractional_positions": [[0.8039, 0.2945, 0.6077], [0.0009, 0.9904, 0.0017], [0.1944, 0.6824, 0.3888], [0.5009, 0.5327, 0.0018]]
}

Version iii
{
  "formula": "La2YRh",
  "functional": "meta-GGA SCAN",
  "state": "single point on PBEsol structure",
  "spacegroup": "P4/mmm, No. 123",
  "lattice_angstrom": [[3.7638, 0.0000, 0.0000], [0.0000, 5.2260, 0.0000], [0.0000, 0.0000, 5.2260]],
  "species": ["Y", "Rh", "La", "La"],
  "fractional_positions": [[0.5000, 0.0000, 0.0000], [0.5000, 0.5000, 0.5000], [0.0000, 0.5000, 0.0000], [0.0000, 0.0000, 0.5000]]
}

Version iv
{
  "formula": "La2YRh",
  "functional": "meta-GGA SCAN",
  "state": "single point on PBEsol structure",
  "spacegroup": "Immm, No. 71",
  "lattice_angstrom": [[3.7479, 0.0000, 0.0000], [0.0000, 5.4980, 0.0000], [-1.8740, -2.7490, 5.2615]],
  "species": ["Rh", "Y", "La", "La"],
  "fractional_positions": [[0.5000, 0.0000, 0.0000], [0.0000, 0.5000, 0.0000], [0.8018, 0.8018, 0.6036], [0.1982, 0.1982, 0.3964]]
}

Unit: eV/atom. Relative energies: version i 0.097; version ii 0.037; version iii 0.338; version iv 0.000.

Version i
{
  "formula": "La2YRh",
  "functional": "meta-GGA SCAN",
  "state": "single point on PBEsol structure",
  "spacegroup": "F-43m, No. 216",
  "lattice_angstrom": [[-4.6981, -1.8246, -1.0793], [-0.8779, -5.0779, 0.0989], [-2.8942, -2.0426, 3.7440]],
  "species": ["La", "Y", "La", "Rh"],
  "fractional_positions": [[0.0000, 0.0000, 0.0000], [0.2500, 0.2500, 0.2500], [0.7500, 0.7500, 0.7500], [0.5000, 0.5000, 0.5000]]
}

Version ii
{
  "formula": "La2YRh",
  "functional": "meta-GGA SCAN",
  "state": "single point on PBEsol structure",
  "spacegroup": "Pmmm, No. 47",
  "lattice_angstrom": [[-2.3568, 0.7417, -2.6182], [-3.9292, -0.2299, 3.4717], [0.5475, 5.1255, 0.9591]],
  "species": ["Rh", "La", "La", "Y"],
  "fractional_positions": [[0.5000, 0.5000, 0.0000], [0.5000, 0.0000, 0.5000], [0.0000, 0.0000, 0.0000], [0.0000, 0.5000, 0.5000]]
}

Unit: eV/atom. Relative energies: version i 0.000; version ii 0.043.

Version i
{
  "formula": "La2YRh",
  "functional": "meta-GGA SCAN",
  "state": "single point on PBEsol structure",
  "spacegroup": "Fm-3m, No. 225",
  "lattice_angstrom": [[-3.1806, 2.1711, -3.5363], [-5.1655, -0.7389, 0.3273], [-3.1251, 3.9591, 1.3765]],
  "species": ["Rh", "La", "La", "Y"],
  "fractional_positions": [[0.0000, 0.0000, 0.0000], [0.2500, 0.2500, 0.2500], [0.7500, 0.7500, 0.7500], [0.5000, 0.5000, 0.5000]]
}

Version ii
{
  "formula": "La2YRh",
  "functional": "meta-GGA SCAN",
  "state": "single point on PBEsol structure",
  "spacegroup": "C2/m, No. 12",
  "lattice_angstrom": [[3.4442, 0.0203, 0.0000], [-1.0038, 5.5880, 0.0000], [-1.2202, -2.8042, 5.1460]],
  "species": ["Y", "La", "Rh", "La"],
  "fractional_positions": [[0.0000, 0.5000, 0.0000], [0.0000, 0.0000, 0.5000], [0.5000, 0.0000, 0.0000], [0.5000, 0.5000, 0.5000]]
}

Unit: eV/atom. Relative energies: version i 0.000; version ii 0.009.

Version i
{
  "formula": "LaZr2Rh",
  "functional": "meta-GGA SCAN",
  "state": "single point on PBEsol structure",
  "spacegroup": "P4/mmm, No. 123",
  "lattice_angstrom": [[4.0504, 0.0000, 0.0000], [0.0000, 4.0504, 0.0000], [0.0000, 0.0000, 5.2842]],
  "species": ["La", "Rh", "Zr", "Zr"],
  "fractional_positions": [[0.5000, 0.5000, 0.5000], [0.0000, 0.0000, 0.5000], [0.0000, 0.5000, 0.0000], [0.5000, 0.0000, 0.0000]]
}

Version ii
{
  "formula": "LaZr2Rh",
  "functional": "meta-GGA SCAN",
  "state": "single point on PBEsol structure",
  "spacegroup": "P4/mmm, No. 123",
  "lattice_angstrom": [[3.3201, 0.0000, 0.0000], [0.0000, 3.3201, 0.0000], [0.0000, 0.0000, 7.8094]],
  "species": ["Zr", "Zr", "Rh", "La"],
  "fractional_positions": [[0.0000, 0.0000, 0.6972], [0.0000, 0.0000, 0.3028], [0.5000, 0.5000, 0.5000], [0.5000, 0.5000, 0.0000]]
}

Version iii
{
  "formula": "LaZr2Rh",
  "functional": "meta-GGA SCAN",
  "state": "single point on PBEsol structure",
  "spacegroup": "P4mm, No. 99",
  "lattice_angstrom": [[3.2585, 0.0000, 0.0000], [0.0000, 3.2585, 0.0000], [0.0000, 0.0000, 8.4314]],
  "species": ["Zr", "La", "Zr", "Rh"],
  "fractional_positions": [[0.5000, 0.5000, 0.2069], [0.0000, 0.0000, 0.5383], [0.0000, 0.0000, 0.9625], [0.5000, 0.5000, 0.7923]]
}

Unit: eV/atom. Relative energies: version i 0.260; version ii 0.020; version iii 0.000.

Version i
{
  "formula": "LaZrRh",
  "functional": "meta-GGA SCAN",
  "state": "single point on PBEsol structure",
  "spacegroup": "F-43m, No. 216",
  "lattice_angstrom": [[4.5544, 0.0000, 0.0000], [2.2772, 3.9442, 0.0000], [2.2772, 1.3147, 3.7186]],
  "species": ["Zr", "La", "Rh"],
  "fractional_positions": [[0.5000, 0.5000, 0.5000], [0.2500, 0.2500, 0.2500], [0.0000, 0.0000, 0.0000]]
}

Version ii
{
  "formula": "LaZrRh",
  "functional": "meta-GGA SCAN",
  "state": "single point on PBEsol structure",
  "spacegroup": "P3m1, No. 156",
  "lattice_angstrom": [[-2.9490, -1.8264, 1.4868], [3.4682, -0.5875, 1.3673], [-0.7981, 4.5167, 3.9653]],
  "species": ["Rh", "Zr", "La"],
  "fractional_positions": [[0.3333, 0.6667, 0.6441], [0.6667, 0.3333, 0.4115], [0.0000, 0.0000, 0.9444]]
}

Unit: eV/atom. Relative energies: version i 0.783; version ii 0.000.

Version i
{
  "formula": "La2ZrRh",
  "functional": "meta-GGA SCAN",
  "state": "single point on PBEsol structure",
  "spacegroup": "Pmmm, No. 47",
  "lattice_angstrom": [[-1.2506, -0.5436, -3.1230], [4.4391, -1.7940, -1.4654], [-1.4888, -4.8623, 1.4426]],
  "species": ["La", "La", "Zr", "Rh"],
  "fractional_positions": [[0.0000, 0.0000, 0.0000], [0.5000, 0.0000, 0.5000], [0.0000, 0.5000, 0.5000], [0.5000, 0.5000, 0.0000]]
}

Version ii
{
  "formula": "La2ZrRh",
  "functional": "meta-GGA SCAN",
  "state": "single point on PBEsol structure",
  "spacegroup": "P4mm, No. 99",
  "lattice_angstrom": [[3.3987, 0.0000, 0.0000], [0.0000, 3.3987, 0.0000], [0.0000, 0.0000, 8.6464]],
  "species": ["La", "Rh", "La", "Zr"],
  "fractional_positions": [[0.5000, 0.5000, 0.3089], [0.0000, 0.0000, 0.5364], [0.0000, 0.0000, 0.9637], [0.5000, 0.5000, 0.6910]]
}

Unit: eV/atom. Relative energies: version i 0.321; version ii 0.000.

Version i
{
  "formula": "La3SnRu",
  "functional": "meta-GGA SCAN",
  "state": "single point on PBEsol structure",
  "spacegroup": "Pm, No. 6",
  "lattice_angstrom": [[4.7173, 0.0000, 0.0000], [0.0000, 8.2230, -0.0134], [0.0000, -3.9413, 7.4723]],
  "species": ["La", "La", "Sn", "Ru", "La", "La", "Ru", "La", "Sn", "La"],
  "fractional_positions": [[0.5000, 0.5558, 0.1651], [0.5000, 0.1708, 0.5828], [0.0000, 0.2288, 0.9062], [0.5000, 0.4385, 0.4388], [0.5000, 0.9985, 0.0288], [0.0000, 0.5879, 0.8586], [0.5000, 0.7013, 0.7623], [0.0000, 0.3194, 0.3307], [0.0000, 0.8969, 0.2763], [0.0000, 0.8069, 0.6057]]
}

Version ii
{
  "formula": "La3SnRu",
  "functional": "meta-GGA SCAN",
  "state": "single point on PBEsol structure",
  "spacegroup": "Pm-3m, No. 221",
  "lattice_angstrom": [[-4.5792, 1.1839, 2.5152], [-0.0888, -4.9068, 2.1478], [2.7785, 1.7943, 4.2140]],
  "species": ["La", "Ru", "Sn", "La", "La"],
  "fractional_positions": [[0.5000, 0.0000, 0.0000], [0.0000, 0.0000, 0.0000], [0.5000, 0.5000, 0.5000], [0.0000, 0.0000, 0.5000], [0.0000, 0.5000, 0.0000]]
}

Unit: eV/atom. Relative energies: version i 0.000; version ii 0.042.

Version i
{
  "formula": "SrLa2Ru",
  "functional": "meta-GGA SCAN",
  "state": "single point on PBEsol structure",
  "spacegroup": "P4/mmm, No. 123",
  "lattice_angstrom": [[3.5480, 0.0000, 0.0000], [0.0000, 3.5480, 0.0000], [0.0000, 0.0000, 10.2401]],
  "species": ["La", "La", "Sr", "Ru"],
  "fractional_positions": [[0.0000, 0.0000, 0.8379], [0.0000, 0.0000, 0.1621], [0.5000, 0.5000, 0.5000], [0.5000, 0.5000, 0.0000]]
}

Version ii
{
  "formula": "SrLa2Ru",
  "functional": "meta-GGA SCAN",
  "state": "single point on PBEsol structure",
  "spacegroup": "R-3m, No. 166",
  "lattice_angstrom": [[4.1149, 0.0000, 0.0000], [2.0574, 3.5636, 0.0000], [2.0574, 1.1879, 9.7610]],
  "species": ["La", "Sr", "La", "Ru"],
  "fractional_positions": [[0.7830, 0.7830, 0.6509], [0.0000, 0.0000, 0.0000], [0.2170, 0.2170, 0.3491], [0.5000, 0.5000, 0.5000]]
}

Unit: eV/atom. Relative energies: version i 0.082; version ii 0.000.

Version i
{
  "formula": "Sr2LaRu",
  "functional": "meta-GGA SCAN",
  "state": "single point on PBEsol structure",
  "spacegroup": "Pm, No. 6",
  "lattice_angstrom": [[3.5856, 0.0000, 0.0285], [0.0000, 3.7092, 0.0000], [-0.9165, 0.0000, 10.1138]],
  "species": ["Ru", "La", "Sr", "Sr"],
  "fractional_positions": [[0.4394, 0.5000, 0.7251], [0.0847, 0.0000, 0.5856], [0.5292, 0.5000, 0.2670], [0.9467, 0.0000, 0.9223]]
}

Version ii
{
  "formula": "Sr2LaRu",
  "functional": "meta-GGA SCAN",
  "state": "single point on PBEsol structure",
  "spacegroup": "F-43m, No. 216",
  "lattice_angstrom": [[5.3758, 0.0000, 0.0000], [2.6879, 4.6556, 0.0000], [2.6879, 1.5519, 4.3893]],
  "species": ["Ru", "Sr", "Sr", "La"],
  "fractional_positions": [[0.2500, 0.2500, 0.2500], [0.7500, 0.7500, 0.7500], [0.0000, 0.0000, 0.0000], [0.5000, 0.5000, 0.5000]]
}

Unit: eV/atom. Relative energies: version i 0.000; version ii 0.364.

Version i
{
  "formula": "La2TlRu",
  "functional": "meta-GGA SCAN",
  "state": "single point on PBEsol structure",
  "spacegroup": "P4/mmm, No. 123",
  "lattice_angstrom": [[-1.9471, -2.5049, 1.2943], [2.7576, -2.0197, 0.2396], [1.4957, 2.9974, 8.0511]],
  "species": ["La", "Tl", "La", "Ru"],
  "fractional_positions": [[0.0000, 0.0000, 0.2015], [0.5000, 0.5000, 0.5000], [0.0000, 0.0000, 0.7985], [0.5000, 0.5000, 0.0000]]
}

Version ii
{
  "formula": "La2TlRu",
  "functional": "meta-GGA SCAN",
  "state": "single point on PBEsol structure",
  "spacegroup": "Amm2, No. 38",
  "lattice_angstrom": [[-1.3915, 0.4896, -3.6092], [2.4185, -3.8970, -1.4610], [-5.6702, -1.3003, 2.0097]],
  "species": ["Tl", "La", "Ru", "La"],
  "fractional_positions": [[0.5000, 0.6794, 0.3589], [0.5000, 0.3825, 0.7657], [0.0000, 0.8662, 0.7320], [0.0000, 0.0748, 0.1498]]
}

Version iii
{
  "formula": "La2TlRu",
  "functional": "meta-GGA SCAN",
  "state": "single point on PBEsol structure",
  "spacegroup": "R-3m, No. 166",
  "lattice_angstrom": [[4.0025, 0.0000, 0.0000], [2.0012, 3.4662, 0.0000], [2.0012, 1.1554, 8.2727]],
  "species": ["Ru", "La", "La", "Tl"],
  "fractional_positions": [[0.5000, 0.5000, 0.5000], [0.2300, 0.2300, 0.3101], [0.7700, 0.7700, 0.6899], [0.0000, 0.0000, 0.0000]]
}

Unit: eV/atom. Relative energies: version i 0.027; version ii 0.000; version iii 0.103.

Version i
{
  "formula": "LaTlRu2",
  "functional": "meta-GGA SCAN",
  "state": "single point on PBEsol structure",
  "spacegroup": "Imm2, No. 44",
  "lattice_angstrom": [[-0.5594, 0.2994, -3.1147], [-2.5081, -3.9225, 0.0733], [-2.7760, 4.5866, 2.5614]],
  "species": ["Tl", "Ru", "Ru", "La"],
  "fractional_positions": [[0.5238, 0.5238, 0.0476], [0.9682, 0.9682, 0.9364], [0.2646, 0.7646, 0.5292], [0.7434, 0.2434, 0.4868]]
}

Version ii
{
  "formula": "LaTlRu2",
  "functional": "meta-GGA SCAN",
  "state": "single point on PBEsol structure",
  "spacegroup": "Fm-3m, No. 225",
  "lattice_angstrom": [[-1.1160, 2.0037, -4.1477], [-4.2210, 2.0796, -0.5676], [-0.2894, 4.7177, -0.3510]],
  "species": ["Ru", "La", "Ru", "Tl"],
  "fractional_positions": [[0.7500, 0.7500, 0.7500], [0.0000, 0.0000, 0.0000], [0.2500, 0.2500, 0.2500], [0.5000, 0.5000, 0.5000]]
}

Unit: eV/atom. Relative energies: version i 0.000; version ii 0.024.

Version i
{
  "formula": "LaRuW2",
  "functional": "meta-GGA SCAN",
  "state": "single point on PBEsol structure",
  "spacegroup": "C2/m, No. 12",
  "lattice_angstrom": [[2.8397, 0.0003, 0.0000], [-1.1499, 5.1324, 0.0000], [-0.8449, -2.5664, 4.8161]],
  "species": ["W", "W", "La", "Ru"],
  "fractional_positions": [[0.0000, 0.0000, 0.5000], [0.5000, 0.5000, 0.5000], [0.5000, 0.0000, 0.0000], [0.0000, 0.5000, 0.0000]]
}

Version ii
{
  "formula": "LaRuW2",
  "functional": "meta-GGA SCAN",
  "state": "single point on PBEsol structure",
  "spacegroup": "P4/mmm, No. 123",
  "lattice_angstrom": [[-1.0650, 0.5701, 3.0216], [0.1122, -3.1884, 0.6411], [6.8973, 0.7048, 2.2980]],
  "species": ["Ru", "W", "La", "W"],
  "fractional_positions": [[0.5000, 0.5000, 0.5000], [0.0000, 0.0000, 0.3262], [0.5000, 0.5000, 0.0000], [0.0000, 0.0000, 0.6738]]
}

Unit: eV/atom. Relative energies: version i 0.101; version ii 0.000.

Version i
{
  "formula": "LaRuW2",
  "functional": "meta-GGA SCAN",
  "state": "single point on PBEsol structure",
  "spacegroup": "Imm2, No. 44",
  "lattice_angstrom": [[-0.3545, 1.9717, -2.3660], [-2.5697, -3.5997, -2.6149], [-2.4842, 2.3012, 4.3212]],
  "species": ["W", "W", "Ru", "La"],
  "fractional_positions": [[0.9999, 0.9999, 0.9997], [0.2743, 0.7743, 0.5486], [0.7295, 0.2295, 0.4590], [0.4963, 0.4963, 0.9927]]
}

Version ii
{
  "formula": "LaRuW2",
  "functional": "meta-GGA SCAN",
  "state": "single point on PBEsol structure",
  "spacegroup": "Pm, No. 6",
  "lattice_angstrom": [[-2.5323, -0.2966, 1.2914], [0.7451, -4.0948, 0.5205], [3.4139, 1.2737, 5.1339]],
  "species": ["La", "Ru", "W", "W"],
  "fractional_positions": [[0.5037, 0.0000, 0.5109], [0.2897, 0.5000, 0.8056], [0.7261, 0.5000, 0.1883], [0.9806, 0.0000, 0.9952]]
}

Unit: eV/atom. Relative energies: version i 0.232; version ii 0.000.